The following is a DFT calculation (PBE) of BAsC3 after structural relaxation.

Cell lengths 3.8815, 3.8815, 3.8815 Å; angles 90.00, 90.00, 90.00 degrees
Last column: nearest neighbours and their distance in Å.
Atoms (fractional coordinates):
C1 0.0000 0.0000 0.5000  2 As 1.94
C2 0.0000 0.5000 0.0000  2 As 1.94
C3 0.5000 0.0000 0.0000  2 As 1.94
As1 0.0000 0.0000 0.0000  6 C 1.94
B1 0.5000 0.5000 0.5000  12 C 2.74

Calculated values
Polymorph energy (0 for the lowest one), eV per formula unit: 4.947
Spin magnetization, μB/atom: 0.000
SG: Pm-3m (221)
Density, g cm⁻³: 3.46
Formation enthalpy at 0 K, meV per atom: 3439